1.
Here is an optimized crystal structure of TmSnAs from OQMD via LeMat-Bulk. Energies are from PBE.

The value obtained for the density is 7.13 g/cm³. The raw total energy is -13.8 eV/cell.

Cell lengths 4.923, 4.923, 4.923 Å; angles 60.00, 60.00, 60.00 degrees
Sites, in units of the cell vectors:
As: 0.250 0.250 0.250
Sn: 0.750 0.750 0.750
Tm: 0.000 0.000 0.000



2.
Here is an optimized crystal structure of Li4Re2O5 from OQMD via LeMat-Bulk. Energies are from PBE.

The value obtained for the density is 7.75 g/cm³. The raw total energy is -71.4 eV/cell.

Cell lengths 4.120, 6.467, 4.069 Å; angles 71.66, 90.00, 90.00 degrees
Sites, in units of the cell vectors:
Li: 0.000 0.000 0.000
Li: 0.000 0.354 0.323
Li: 0.500 0.000 0.500
Li: 0.000 0.646 0.677
O: 0.500 0.000 0.000
O: 0.000 0.684 0.158
O: 0.500 0.291 0.355
O: 0.500 0.709 0.645
O: 0.000 0.316 0.842
Re: 0.500 0.646 0.177
Re: 0.500 0.354 0.823



3.
Here is an optimized crystal structure of TmGaW from OQMD via LeMat-Bulk. Energies are from PBE.

The value obtained for the density is 9.57 g/cm³. The raw total energy is -16.6 eV/cell.

Cell lengths 4.698, 4.698, 4.698 Å; angles 60.00, 60.00, 60.00 degrees
Sites, in units of the cell vectors:
Ga: 0.250 0.250 0.250
Tm: 0.000 0.000 0.000
W: 0.750 0.750 0.750



4.
Here is an optimized crystal structure of RbBeCo from OQMD via LeMat-Bulk. Energies are from PBE.

The value obtained for the density is 3.53 g/cm³. The raw total energy is -6.8 eV/cell.

Cell lengths 4.674, 4.674, 4.674 Å; angles 60.00, 60.00, 60.00 degrees
Site moments in Bohr magnetons follow the coordinates.
Sites, in units of the cell vectors:
Be: 0.500 0.500 0.500  -0.08
Co: 0.250 0.250 0.250  1.52
Rb: 0.000 0.000 0.000  0.00



5.
Here is an optimized crystal structure of Co16Re13 from OQMD via LeMat-Bulk. Energies are from PBE.

The value obtained for the density is 14.95 g/cm³. The raw total energy is -270.1 eV/cell.

Cell lengths 7.858, 7.858, 7.858 Å; angles 109.47, 109.47, 109.47 degrees
Site moments in Bohr magnetons follow the coordinates.
Sites, in units of the cell vectors:
Co: 0.662 0.000 0.000  -0.54
Co: 0.686 0.400 0.000  0.55
Co: 0.000 0.662 0.000  -0.55
Co: 0.400 0.686 0.000  0.56
Co: 0.600 0.600 0.286  0.54
Co: 0.714 0.314 0.314  0.54
Co: 0.314 0.714 0.314  0.55
Co: 0.338 0.338 0.338  -0.54
Co: 0.686 0.000 0.400  0.56
Co: 0.000 0.686 0.400  0.56
Co: 0.600 0.286 0.600  0.57
Co: 0.286 0.600 0.600  0.54
Co: 0.000 0.000 0.662  -0.55
Co: 0.400 0.000 0.686  0.55
Co: 0.000 0.400 0.686  0.55
Co: 0.314 0.314 0.714  0.54
Re: 0.000 0.000 0.000  -0.15
Re: 0.387 0.199 0.000  0.00
Re: 0.199 0.387 0.000  -0.01
Re: 0.801 0.801 0.189  -0.01
Re: 0.387 0.000 0.199  0.00
Re: 0.000 0.387 0.199  -0.01
Re: 0.199 0.000 0.387  -0.01
Re: 0.000 0.199 0.387  -0.01
Re: 0.811 0.613 0.613  -0.01
Re: 0.613 0.811 0.613  0.00
Re: 0.801 0.189 0.801  -0.01
Re: 0.189 0.801 0.801  -0.01
Re: 0.613 0.613 0.811  0.00



6.
Here is an optimized crystal structure of KHfIr from OQMD via LeMat-Bulk. Energies are from PBE.

The value obtained for the density is 9.28 g/cm³. The raw total energy is -18.1 eV/cell.

Cell lengths 4.698, 4.698, 4.698 Å; angles 60.00, 60.00, 60.00 degrees
Sites, in units of the cell vectors:
Hf: 0.250 0.250 0.250
Ir: 0.000 0.000 0.000
K: 0.750 0.750 0.750



7.
Here is an optimized crystal structure of NaYHgSe3 from OQMD via LeMat-Bulk. Energies are from PBE.

The value obtained for the density is 5.57 g/cm³. The raw total energy is -50.4 eV/cell.

Cell lengths 8.056, 4.155, 10.110 Å; angles 90.00, 104.68, 90.00 degrees
Sites, in units of the cell vectors:
Hg: 0.906 0.750 0.392
Hg: 0.094 0.250 0.608
Na: 0.236 0.250 0.255
Na: 0.764 0.750 0.745
Se: 0.937 0.750 0.140
Se: 0.441 0.750 0.148
Se: 0.727 0.250 0.455
Se: 0.273 0.750 0.545
Se: 0.559 0.250 0.852
Se: 0.063 0.250 0.860
Y: 0.682 0.250 0.139
Y: 0.318 0.750 0.861



8.
Here is an optimized crystal structure of PrThGe from OQMD via LeMat-Bulk. Energies are from PBE.

The value obtained for the density is 7.95 g/cm³. The raw total energy is -15.3 eV/cell.

Cell lengths 5.087, 5.087, 5.087 Å; angles 60.00, 60.00, 60.00 degrees
Site moments in Bohr magnetons follow the coordinates.
Sites, in units of the cell vectors:
Ge: 0.000 0.000 0.000  -0.02
Pr: 0.500 0.500 0.500  0.39
Th: 0.750 0.750 0.750  0.44



9.
Here is an optimized crystal structure of Hf4CoAgP2 from OQMD via LeMat-Bulk. Energies are from PBE.

The value obtained for the density is 11.31 g/cm³. The raw total energy is -66.4 eV/cell.

Cell lengths 5.256, 3.629, 7.705 Å; angles 90.00, 109.71, 90.00 degrees
Sites, in units of the cell vectors:
Ag: 0.629 0.500 0.795
Co: 0.353 0.000 0.203
Hf: 0.781 0.000 0.101
Hf: 0.714 0.500 0.419
Hf: 0.273 0.000 0.550
Hf: 0.216 0.500 0.946
P: 0.140 0.500 0.289
P: 0.890 0.000 0.695



10.
Here is an optimized crystal structure of PuMgIr from OQMD via LeMat-Bulk. Energies are from PBE.

The value obtained for the density is 11.03 g/cm³. The raw total energy is -25.4 eV/cell.

Cell lengths 4.612, 4.612, 4.612 Å; angles 60.00, 60.00, 60.00 degrees
Sites, in units of the cell vectors:
Ir: 0.000 0.000 0.000
Mg: 0.750 0.750 0.750
Pu: 0.250 0.250 0.250



11.
Here is an optimized crystal structure of LuPaCu from OQMD via LeMat-Bulk. Energies are from PBE.

The value obtained for the density is 10.88 g/cm³. The raw total energy is -16.5 eV/cell.

Cell lengths 4.663, 4.663, 4.663 Å; angles 60.00, 60.00, 60.00 degrees
Site moments in Bohr magnetons follow the coordinates.
Sites, in units of the cell vectors:
Cu: 0.000 0.000 0.000  0.04
Lu: 0.250 0.250 0.250  0.19
Pa: 0.750 0.750 0.750  0.57



12.
Here is an optimized crystal structure of Dy2ErIn3Fe2Cu from OQMD via LeMat-Bulk. Energies are from PBE.

The value obtained for the density is 8.99 g/cm³. The raw total energy is -44.3 eV/cell.

Cell lengths 3.914, 7.425, 7.425 Å; angles 119.94, 90.00, 90.00 degrees
Site moments in Bohr magnetons follow the coordinates.
Sites, in units of the cell vectors:
Cu: 0.000 0.999 0.999  0.01
Dy: 0.000 0.410 0.000  -0.21
Dy: 0.000 0.000 0.410  -0.21
Er: 0.000 0.590 0.590  -0.22
Fe: 0.500 0.666 0.334  2.18
Fe: 0.500 0.334 0.666  2.18
In: 0.500 0.259 0.259  -0.01
In: 0.500 0.999 0.742  -0.01
In: 0.500 0.742 0.999  -0.01